A relaxed structure of CeFeCuH6, computed with PBE.

a b c (Å): 4.449 4.449 4.224
angles (deg): 90.00 90.00 120.00
Atoms (fractional coordinates):
Ce: 0.000 0.000 0.000
Fe: 0.667 0.333 0.500
Cu: 0.333 0.667 0.500
H: 0.512 0.023 0.244
H: 0.512 0.023 0.756
H: 0.512 0.488 0.244
H: 0.512 0.488 0.756
H: 0.977 0.488 0.244
H: 0.977 0.488 0.756

The energy comes out at -4.55 eV/atom.

A relaxed structure of AcPm2As3, computed with PBE.

a b c (Å): 7.532 7.532 7.532
angles (deg): 146.49 131.70 60.06
Atoms (fractional coordinates):
Ac: 0.000 0.000 0.000
Pm: 0.334 0.334 0.000
Pm: 0.666 0.666 0.000
As: 0.175 0.675 0.500
As: 0.500 0.000 0.500
As: 0.825 0.325 0.500

The value obtained for the formation energy is -1.48 eV/atom.

A relaxed structure of Ca2ZrRu, computed with PBE.

a b c (Å): 3.758 3.758 6.730
angles (deg): 90.00 90.00 90.00
Atoms (fractional coordinates):
Ca: 0.000 0.000 0.216
Ca: 0.000 0.000 0.784
Zr: 0.500 0.500 0.500
Ru: 0.500 0.500 0.000

The value obtained for the formation energy is 0.53 eV/atom.

A relaxed structure of MgAl2P, computed with PBE.

a b c (Å): 5.603 5.603 5.603
angles (deg): 140.59 140.59 56.96
Atoms (fractional coordinates):
Mg: 0.000 0.000 0.000
Al: 0.250 0.750 0.500
Al: 0.750 0.250 0.500
P: 0.500 0.500 0.000

The value obtained for the formation energy is 0.00 eV/atom.

A relaxed structure of CoRe2Cl, computed with PBE.

a b c (Å): 4.402 4.402 2.773
angles (deg): 90.00 90.00 90.00
Atoms (fractional coordinates):
Co: 0.000 0.000 0.000
Re: 0.000 0.500 0.500
Re: 0.500 0.000 0.500
Cl: 0.500 0.500 0.000

The formation energy from raw total energies comes out at 1.020 eV per atom.

no.,M_tot (μB/f.u.),DOS at the Fermi energy (states/eV per cell)
1,0.24,4.0
2,0.00,0.6
3,0.00,4.8
4,0.00,1.4
5,0.29,5.2